ZrAlOs2: optimized geometry, GGA-PBE.

ΔE_f = -0.417 eV per atom
final energy = -9.104 eV per atom
D(E_F) = 3.961 states/eV per cell

a b c (Å): 3.1958 3.1958 6.2073
angles (deg): 90.00 90.00 90.00
With the nearest neighbours (Å) after each atom.
Space group P4/mmm (No. 123)
Unique sites:
Zr1 0.0000 0.0000 0.0000 x1  8 Os 2.81, 2 Al 3.10
Al1 0.0000 0.0000 0.5000 x1  8 Os 2.68
Os1 0.5000 0.5000 0.2684 x2  4 Al 2.68, 4 Zr 2.81, 1 Os 2.88

VPdSeBr2: optimized geometry, GGA-PBE.

polymorph energy (0 for the lowest one) = 0.0 meV/atom
final energy = -4.069 eV per atom
D(E_F) = 6.201 states/eV per cell
formation energy from raw total energies = 15.33 kJ per mole of atoms

a b c (Å): 5.0280 5.0280 4.7321
angles (deg): 90.00 90.00 90.00
With the nearest neighbours (Å) after each atom.
Space group P4/mmm (No. 123)
Unique sites:
V1 0.0000 0.0000 0.0000 x1  2 Se 2.37, 4 Br 2.51
Pd1 0.5000 0.5000 0.5000 x1  8 Br 3.45, 4 Se 3.56
Se1 0.0000 0.0000 0.5000 x1  2 V 2.37
Br1 0.0000 0.5000 0.0000 x2  2 V 2.51

HgPb2N: optimized geometry, GGA-PBE.

polymorph energy (0 for the lowest one) = 0.0 meV/atom
final energy = -3.674 eV per atom
D(E_F) = 1.865 states/eV per cell
formation energy from raw total energies = 32.55 kJ per mole of atoms

a b c (Å): 6.1050 3.4911 9.4721
angles (deg): 90.00 103.63 90.00
With the nearest neighbours (Å) after each atom.
Space group C2/m (No. 12)
Unique sites:
Hg1 0.0000 0.0000 0.0000 x2  6 Hg 3.49-3.52, 6 Pb 3.66-3.76
Pb1 0.2289 0.0000 0.6649 x4  3 N 2.53
N1 0.0000 0.5000 0.5000 x2  6 Pb 2.53

KRb2SnPd: optimized geometry, GGA-PBE.

ΔE_f = -0.068 eV per atom
final energy = -2.514 eV per atom
D(E_F) = 4.052 states/eV per cell

a b c (Å): 6.5586 6.5586 5.2466
angles (deg): 90.00 90.00 90.00
With the nearest neighbours (Å) after each atom.
Space group P4/mmm (No. 123)
Unique sites:
K1 0.0000 0.0000 0.0000 x1  8 Rb 4.20, 4 Sn 4.64
Rb1 0.0000 0.5000 0.5000 x2  2 Pd 3.28
Sn1 0.5000 0.5000 0.0000 x1  2 Pd 2.62
Pd1 0.5000 0.5000 0.5000 x1  2 Sn 2.62

CaOsBr: optimized geometry, GGA-PBE.

polymorph energy (0 for the lowest one) = 577.2 meV/atom
final energy = -3.968 eV per atom
D(E_F) = 31.048 states/eV per cell
formation energy from raw total energies = 96.51 kJ per mole of atoms

a b c (Å): 7.1263 7.1263 7.1263
angles (deg): 90.00 90.00 90.00
With the nearest neighbours (Å) after each atom.
Space group F-43m (No. 216)
Unique sites:
Ca1 0.0000 0.0000 0.0000 x4  4 Br 3.09, 4 Os 3.09
Os1 0.2500 0.2500 0.2500 x4  4 Ca 3.09
Br1 0.2500 0.2500 0.7500 x4  4 Ca 3.09

TaFeSe2: optimized geometry, GGA-PBE.

polymorph energy (0 for the lowest one) = 543.3 meV/atom
final energy = -6.804 eV per atom
D(E_F) = 7.492 states/eV per cell
formation energy from raw total energies = 1.69 kJ per mole of atoms

a b c (Å): 8.5242 3.3048 5.1600
angles (deg): 90.00 95.48 90.00
With the nearest neighbours (Å) after each atom.
Space group C2/m (No. 12)
Unique sites:
Ta1 0.0000 0.0000 0.0000 x2  6 Se 2.61-2.88
Fe1 0.0000 0.5000 0.5000 x2  2 Se 2.33
Se1 0.2049 0.5000 0.2312 x4  1 Fe 2.33, 2 Ta 2.61